First-principles (PBE-GGA) data for a relaxed Pr2PdPb crystal, as listed in Alexandria via LeMat-Bulk.

The structure in POSCAR format:
```
Pr2PdPb
1.0
3.669 0.000 0.000
0.000 3.669 0.000
0.000 0.000 8.226
Pb Pr Pd
1 2 1
Cartesian
1.834 1.834 4.113
0.000 0.000 6.432
0.000 0.000 1.794
1.834 1.834 0.000
```

## Properties
D(E_F) = 3.58 states/eV/cell
Symmetry = P4/mmm, No. 123
Energy = -5.2232 eV per atom
Volume = 27.68 Å³ per atom
Calculated formation energy = -608 meV per atom